(1)
Ca4AgHg3: relaxed, GGA-PBE.

Cell: 4.1036 4.7818 11.6799 Å, 90.00 90.00 90.00°
With the nearest neighbours (Å) after each atom.
Space group Pmm2 (No. 25)
Symmetry-distinct sites (fractional):
Ca 0.0000 0.0000 0.0000 (multiplicity 1)  5 Hg 3.21-3.23, 2 Ag 3.25
Ca 0.0000 0.5000 0.2799 (multiplicity 1)  3 Hg 3.19-3.27, 4 Ag 3.24
Ca 0.5000 0.0000 0.4933 (multiplicity 1)  6 Hg 3.23-3.40, 1 Ag 3.24
Ca 0.5000 0.5000 0.7836 (multiplicity 1)  7 Hg 3.22-3.39
Ag 0.5000 0.0000 0.2163 (multiplicity 1)  2 Hg 2.99, 7 Ca 3.24-3.25
Hg 0.0000 0.0000 0.7253 (multiplicity 1)  2 Hg 3.13, 7 Ca 3.21-3.40
Hg 0.0000 0.5000 0.5530 (multiplicity 1)  2 Hg 3.13, 7 Ca 3.19-3.39
Hg 0.5000 0.5000 0.0622 (multiplicity 1)  2 Ag 2.99, 7 Ca 3.23-3.27

Uncorrected energy   -1.938 eV per atom
Total magnetization   0.000 μB per atom
Energy above the lowest structure with this stoichiometry   20 meV per atom


(2)
CaAgHg2: relaxed, GGA-PBE.

Cell: 3.5591 4.8219 5.9432 Å, 90.00 90.45 90.00°
With the nearest neighbours (Å) after each atom.
Space group Pm (No. 6)
Symmetry-distinct sites (fractional):
Ca 0.0000 0.0000 0.0000 (multiplicity 1)  4 Ag 3.30-3.31, 8 Hg 3.33-3.58, 2 Ca 3.56
Ag 0.4955 0.5000 0.7652 (multiplicity 1)  4 Hg 2.82-3.09
Hg 0.4974 0.0000 0.5188 (multiplicity 1)  2 Ag 2.82, 2 Hg 2.91
Hg 0.5041 0.5000 0.2456 (multiplicity 1)  2 Ag 2.86-3.09, 2 Hg 2.91

Uncorrected energy   -1.611 eV per atom
Total magnetization   0.000 μB per atom


(3)
Ca5AgHg6: relaxed, GGA-PBE.

Cell: 9.2360 15.7093 5.2080 Å, 90.00 124.13 90.00°
With the nearest neighbours (Å) after each atom.
Space group C2/m (No. 12)
Symmetry-distinct sites (fractional):
Ca 0.0000 0.0000 0.0000 (multiplicity 2)  8 Hg 3.22-3.24
Ca 0.0000 0.1683 0.5000 (multiplicity 4)  8 Hg 3.23-3.26
Ca 0.0000 0.3384 0.0000 (multiplicity 4)  8 Hg 3.18-3.35
Ag 0.0000 0.5000 0.5000 (multiplicity 2)  8 Hg 3.20-3.25
Hg 0.2479 0.3361 0.7472 (multiplicity 8)  1 Ag 3.20, 7 Ca 3.22-3.35
Hg 0.2494 0.0000 0.7459 (multiplicity 4)  6 Ca 3.18-3.26, 2 Ag 3.21-3.25

Uncorrected energy   -1.669 eV per atom
Total magnetization   0.000 μB per atom


Question: Which formula does entry 3 have?
Answer: Ca5AgHg6


Question: Look up the uncorrected energy of the third one.
Answer: -1.669 eV per atom